# LaMnPO2 PBE+U relaxed
data_LaMnPO2
_cell_length_a 4.229
_cell_length_b 4.229
_cell_length_c 6.388
_cell_angle_alpha 90.00
_cell_angle_beta 90.00
_cell_angle_gamma 90.00
_symmetry_space_group_name_H-M 'P 4/m m m'
_symmetry_Int_Tables_number 123
_symmetry_space_group_name_Hall '-P 4 2'
loop_
_atom_site_label
_atom_site_type_symbol
_atom_site_fract_x
_atom_site_fract_y
_atom_site_fract_z
La1 La 0.000 0.000 0.000
Mn1 Mn 0.500 0.500 0.500
P1 P 0.000 0.000 0.500
O1 O 0.000 0.500 0.000
# Crystal system: tetragonal
# Theoretical density in Mg/m³: 3.73
# M_tot in μB/f.u.: 3.590
# Distance to the lowest polymorph of the same formula in eV/f.u.: 2.779
# Final energy in eV per cell: -31.82